(P)
! TmGe2Mo, optimized geometry, DFT PBE-GGA; values from VASP
! total magnetic moment = 0.0 μB per formula unit
&SYSTEM
  ibrav = 0, nat = 4, ntyp = 3
/
ATOMIC_SPECIES
Tm 168.93 Tm.upf
Ge 72.64 Ge.upf
Mo 95.94 Mo.upf
CELL_PARAMETERS angstrom
1.830 1.057 6.803
-1.830 1.057 6.803
0.000 -2.113 6.803
ATOMIC_POSITIONS angstrom
Tm 0.000 0.000 0.000
Ge 0.000 0.000 4.905
Ge 0.000 0.000 15.505
Mo 0.000 0.000 10.205

(Q)
! TmGe2Mo, optimized geometry, DFT PBE-GGA; values from VASP
! total magnetic moment = 0.3 μB per formula unit
&SYSTEM
  ibrav = 0, nat = 4, ntyp = 3
/
ATOMIC_SPECIES
Tm 168.93 Tm.upf
Ge 72.64 Ge.upf
Mo 95.94 Mo.upf
CELL_PARAMETERS angstrom
3.327 0.000 0.000
0.000 3.327 0.000
0.000 0.000 6.586
ATOMIC_POSITIONS angstrom
Tm 0.000 0.000 0.000
Ge 1.664 1.664 1.943
Ge 1.664 1.664 4.643
Mo 0.000 0.000 3.293

Most stable: (Q) (next structure +0.015 eV/atom)

(P)
! UGe2Mo, optimized geometry, DFT PBE-GGA; values from VASP
! total magnetic moment = 2.8 μB per formula unit
&SYSTEM
  ibrav = 0, nat = 4, ntyp = 3
/
ATOMIC_SPECIES
U 238.03 U.upf
Ge 72.64 Ge.upf
Mo 95.94 Mo.upf
CELL_PARAMETERS angstrom
3.315 0.000 0.000
0.000 3.315 0.000
0.000 0.000 6.629
ATOMIC_POSITIONS angstrom
U 0.000 0.000 0.000
Ge 1.657 1.657 1.947
Ge 1.657 1.657 4.682
Mo 0.000 0.000 3.315

(Q)
! UGe2Mo, optimized geometry, DFT PBE-GGA; values from VASP
! total magnetic moment = 1.8 μB per formula unit
&SYSTEM
  ibrav = 0, nat = 4, ntyp = 3
/
ATOMIC_SPECIES
U 238.03 U.upf
Ge 72.64 Ge.upf
Mo 95.94 Mo.upf
CELL_PARAMETERS angstrom
1.470 0.849 10.129
-1.470 0.849 10.129
0.000 -1.698 10.129
ATOMIC_POSITIONS angstrom
U 0.000 0.000 0.000
Ge 0.000 0.000 2.960
Ge 0.000 0.000 27.427
Mo 0.000 0.000 15.193

Most stable: (P) (next structure +0.273 eV/atom)

(P)
! V4GeMo, optimized geometry, DFT PBE-GGA; values from VASP
! total magnetic moment = 0.0 μB per formula unit
&SYSTEM
  ibrav = 0, nat = 12, ntyp = 3
/
ATOMIC_SPECIES
V 50.94 V.upf
Ge 72.64 Ge.upf
Mo 95.94 Mo.upf
CELL_PARAMETERS angstrom
6.155 -3.151 0.000
6.155 3.151 0.000
-1.663 0.000 4.669
ATOMIC_POSITIONS angstrom
V 3.710 1.655 1.862
V 6.155 2.009 0.000
V 2.456 0.000 3.810
V 6.936 1.655 2.807
V 3.710 -1.655 1.862
V 8.190 0.000 0.859
V 6.155 -2.009 0.000
V 6.936 -1.655 2.807
Ge 5.618 0.000 1.209
Ge 5.028 0.000 3.460
Mo 2.118 0.000 0.836
Mo 8.528 0.000 3.833

(Q)
! V4GeMo, optimized geometry, DFT PBE-GGA; values from VASP
! total magnetic moment = 0.0 μB per formula unit
&SYSTEM
  ibrav = 0, nat = 6, ntyp = 3
/
ATOMIC_SPECIES
V 50.94 V.upf
Ge 72.64 Ge.upf
Mo 95.94 Mo.upf
CELL_PARAMETERS angstrom
4.309 0.000 0.000
0.000 4.328 0.000
-2.142 0.000 4.496
ATOMIC_POSITIONS angstrom
V 0.006 0.000 1.523
V 0.009 2.164 2.922
V 2.157 2.164 1.574
V 2.161 0.000 2.973
Ge 0.000 2.164 0.000
Mo 2.154 0.000 0.000

Most stable: (Q) (next structure +0.345 eV/atom)

(P)
! Ge2MoW, optimized geometry, DFT PBE-GGA; values from VASP
! total magnetic moment = 0.5 μB per formula unit
&SYSTEM
  ibrav = 0, nat = 8, ntyp = 3
/
ATOMIC_SPECIES
Ge 72.64 Ge.upf
Mo 95.94 Mo.upf
W 183.84 W.upf
CELL_PARAMETERS angstrom
-3.507 3.507 2.778
3.507 -3.507 2.778
3.507 3.507 -2.778
ATOMIC_POSITIONS angstrom
Ge 5.260 1.744 -0.695
Ge 1.744 1.753 0.695
Ge -1.753 1.763 2.084
Ge 1.763 1.753 3.473
Mo 3.507 0.000 1.389
Mo 0.000 0.000 2.778
W 0.000 0.000 0.000
W 0.000 3.507 1.389

(Q)
! Ge2MoW, optimized geometry, DFT PBE-GGA; values from VASP
! total magnetic moment = 0.0 μB per formula unit
&SYSTEM
  ibrav = 0, nat = 4, ntyp = 3
/
ATOMIC_SPECIES
Ge 72.64 Ge.upf
Mo 95.94 Mo.upf
W 183.84 W.upf
CELL_PARAMETERS angstrom
0.000 3.134 3.134
3.134 0.000 3.134
3.134 3.134 0.000
ATOMIC_POSITIONS angstrom
Ge 1.567 1.567 1.567
Ge 4.701 4.701 4.701
Mo 0.000 0.000 0.000
W 3.134 3.134 3.134

(R)
! Ge2MoW, optimized geometry, DFT PBE-GGA; values from VASP
! total magnetic moment = 0.0 μB per formula unit
&SYSTEM
  ibrav = 0, nat = 4, ntyp = 3
/
ATOMIC_SPECIES
Ge 72.64 Ge.upf
Mo 95.94 Mo.upf
W 183.84 W.upf
CELL_PARAMETERS angstrom
1.440 0.831 9.462
-1.440 0.831 9.462
0.000 -1.662 9.462
ATOMIC_POSITIONS angstrom
Ge 0.000 0.000 2.622
Ge 0.000 0.000 25.765
Mo 0.000 0.000 14.193
W 0.000 0.000 0.000

Most stable: (Q) (next structure +0.172 eV/atom)

(P)
! YGe3Mo, optimized geometry, DFT PBE-GGA; values from VASP
! total magnetic moment = 0.8 μB per formula unit
&SYSTEM
  ibrav = 0, nat = 5, ntyp = 3
/
ATOMIC_SPECIES
Y 88.91 Y.upf
Ge 72.64 Ge.upf
Mo 95.94 Mo.upf
CELL_PARAMETERS angstrom
5.192 0.000 0.000
0.000 5.192 0.000
0.000 0.000 5.192
ATOMIC_POSITIONS angstrom
Y 0.000 0.000 0.000
Ge 0.000 0.000 2.596
Ge 0.000 2.596 0.000
Ge 2.596 0.000 0.000
Mo 2.596 2.596 2.596

(Q)
! YGe3Mo, optimized geometry, DFT PBE-GGA; values from VASP
! total magnetic moment = 0.0 μB per formula unit
&SYSTEM
  ibrav = 0, nat = 5, ntyp = 3
/
ATOMIC_SPECIES
Y 88.91 Y.upf
Ge 72.64 Ge.upf
Mo 95.94 Mo.upf
CELL_PARAMETERS angstrom
4.866 0.000 0.000
0.000 4.866 0.000
0.000 0.000 4.866
ATOMIC_POSITIONS angstrom
Y 0.000 0.000 0.000
Ge 0.000 2.433 2.433
Ge 2.433 0.000 2.433
Ge 2.433 2.433 0.000
Mo 2.433 2.433 2.433

Most stable: (Q) (next structure +1.544 eV/atom)

(P)
! YGe2Mo2, optimized geometry, DFT PBE-GGA; values from VASP
! total magnetic moment = 0.0 μB per formula unit
&SYSTEM
  ibrav = 0, nat = 10, ntyp = 3
/
ATOMIC_SPECIES
Y 88.91 Y.upf
Ge 72.64 Ge.upf
Mo 95.94 Mo.upf
CELL_PARAMETERS angstrom
7.405 0.000 0.000
0.000 7.405 0.000
0.000 0.000 3.247
ATOMIC_POSITIONS angstrom
Y 0.000 0.000 0.000
Y 3.702 3.702 0.000
Ge 1.039 2.664 0.000
Ge 2.664 6.366 0.000
Ge 4.741 1.039 0.000
Ge 6.366 4.741 0.000
Mo 1.079 4.781 1.624
Mo 2.624 1.079 1.624
Mo 4.781 6.326 1.624
Mo 6.326 2.624 1.624

(Q)
! YGe2Mo2, optimized geometry, DFT PBE-GGA; values from VASP
! total magnetic moment = 0.0 μB per formula unit
&SYSTEM
  ibrav = 0, nat = 5, ntyp = 3
/
ATOMIC_SPECIES
Y 88.91 Y.upf
Ge 72.64 Ge.upf
Mo 95.94 Mo.upf
CELL_PARAMETERS angstrom
-2.003 2.003 5.811
2.003 -2.003 5.811
2.003 2.003 -5.811
ATOMIC_POSITIONS angstrom
Y 0.000 0.000 0.000
Ge 0.000 0.000 4.555
Ge 0.000 0.000 7.067
Mo 2.003 0.000 2.905
Mo 0.000 2.003 2.905

Most stable: (Q) (next structure +0.184 eV/atom)

(P)
! YGeMo3, optimized geometry, DFT PBE-GGA; values from VASP
! total magnetic moment = 0.0 μB per formula unit
&SYSTEM
  ibrav = 0, nat = 5, ntyp = 3
/
ATOMIC_SPECIES
Y 88.91 Y.upf
Ge 72.64 Ge.upf
Mo 95.94 Mo.upf
CELL_PARAMETERS angstrom
4.716 0.000 0.000
0.000 4.716 0.000
0.000 0.000 4.716
ATOMIC_POSITIONS angstrom
Y 0.000 0.000 0.000
Ge 2.358 2.358 2.358
Mo 0.000 2.358 2.358
Mo 2.358 0.000 2.358
Mo 2.358 2.358 0.000

(Q)
! YGeMo3, optimized geometry, DFT PBE-GGA; values from VASP
! total magnetic moment = 0.0 μB per formula unit
&SYSTEM
  ibrav = 0, nat = 5, ntyp = 3
/
ATOMIC_SPECIES
Y 88.91 Y.upf
Ge 72.64 Ge.upf
Mo 95.94 Mo.upf
CELL_PARAMETERS angstrom
4.846 0.000 0.000
0.000 4.846 0.000
0.000 0.000 4.846
ATOMIC_POSITIONS angstrom
Y 0.000 0.000 0.000
Ge 2.423 2.423 2.423
Mo 0.000 0.000 2.423
Mo 0.000 2.423 0.000
Mo 2.423 0.000 0.000

Most stable: (P) (next structure +1.663 eV/atom)

(P)
! ZnGe3Mo, optimized geometry, DFT PBE-GGA; values from VASP
! total magnetic moment = 3.6 μB per formula unit
&SYSTEM
  ibrav = 0, nat = 5, ntyp = 3
/
ATOMIC_SPECIES
Zn 65.41 Zn.upf
Ge 72.64 Ge.upf
Mo 95.94 Mo.upf
CELL_PARAMETERS angstrom
4.763 0.000 0.000
0.000 4.763 0.000
0.000 0.000 4.763
ATOMIC_POSITIONS angstrom
Zn 0.000 0.000 0.000
Ge 0.000 0.000 2.382
Ge 0.000 2.382 0.000
Ge 2.382 0.000 0.000
Mo 2.382 2.382 2.382

(Q)
! ZnGe3Mo, optimized geometry, DFT PBE-GGA; values from VASP
! total magnetic moment = 0.0 μB per formula unit
&SYSTEM
  ibrav = 0, nat = 5, ntyp = 3
/
ATOMIC_SPECIES
Zn 65.41 Zn.upf
Ge 72.64 Ge.upf
Mo 95.94 Mo.upf
CELL_PARAMETERS angstrom
4.912 0.000 0.000
0.000 4.912 0.000
0.000 0.000 4.912
ATOMIC_POSITIONS angstrom
Zn 0.000 0.000 0.000
Ge 0.000 2.456 2.456
Ge 2.456 0.000 2.456
Ge 2.456 2.456 0.000
Mo 2.456 2.456 2.456

Most stable: (Q) (next structure +0.762 eV/atom)

(P)
! ZrGe3Mo, optimized geometry, DFT PBE-GGA; values from VASP
! total magnetic moment = 0.0 μB per formula unit
&SYSTEM
  ibrav = 0, nat = 5, ntyp = 3
/
ATOMIC_SPECIES
Zr 91.22 Zr.upf
Ge 72.64 Ge.upf
Mo 95.94 Mo.upf
CELL_PARAMETERS angstrom
4.809 0.000 0.000
0.000 4.809 0.000
0.000 0.000 4.809
ATOMIC_POSITIONS angstrom
Zr 0.000 0.000 0.000
Ge 0.000 2.404 2.404
Ge 2.404 0.000 2.404
Ge 2.404 2.404 0.000
Mo 2.404 2.404 2.404

(Q)
! ZrGe3Mo, optimized geometry, DFT PBE-GGA; values from VASP
! total magnetic moment = 4.1 μB per formula unit
&SYSTEM
  ibrav = 0, nat = 5, ntyp = 3
/
ATOMIC_SPECIES
Zr 91.22 Zr.upf
Ge 72.64 Ge.upf
Mo 95.94 Mo.upf
CELL_PARAMETERS angstrom
5.126 0.000 0.000
0.000 5.126 0.000
0.000 0.000 5.126
ATOMIC_POSITIONS angstrom
Zr 0.000 0.000 0.000
Ge 0.000 0.000 2.563
Ge 0.000 2.563 0.000
Ge 2.563 0.000 0.000
Mo 2.563 2.563 2.563

Most stable: (P) (next structure +0.577 eV/atom)

(P)
! GeN, optimized geometry, DFT PBE-GGA; values from VASP
! total magnetic moment = 0.0 μB per formula unit
&SYSTEM
  ibrav = 0, nat = 4, ntyp = 2
/
ATOMIC_SPECIES
Ge 72.64 Ge.upf
N 14.01 N.upf
CELL_PARAMETERS angstrom
3.100 0.000 0.000
-1.550 2.685 0.000
0.000 0.000 6.630
ATOMIC_POSITIONS angstrom
Ge 0.000 1.790 0.000
Ge 1.550 0.895 3.315
N 0.000 1.790 4.162
N 1.550 0.895 0.847

(Q)
! GeN, optimized geometry, DFT PBE-GGA; values from VASP
! total magnetic moment = 0.0 μB per formula unit
&SYSTEM
  ibrav = 0, nat = 2, ntyp = 2
/
ATOMIC_SPECIES
Ge 72.64 Ge.upf
N 14.01 N.upf
CELL_PARAMETERS angstrom
2.797 -1.542 0.000
2.797 1.542 0.000
-2.582 0.000 2.993
ATOMIC_POSITIONS angstrom
Ge 0.000 0.000 0.000
N -0.717 0.000 2.121

Most stable: (P) (next structure +0.006 eV/atom)

(P)
! NaGe3N, optimized geometry, DFT PBE-GGA; values from VASP
! total magnetic moment = 0.0 μB per formula unit
&SYSTEM
  ibrav = 0, nat = 5, ntyp = 3
/
ATOMIC_SPECIES
Na 22.99 Na.upf
Ge 72.64 Ge.upf
N 14.01 N.upf
CELL_PARAMETERS angstrom
4.523 0.000 0.000
0.000 4.523 0.000
0.000 0.000 4.523
ATOMIC_POSITIONS angstrom
Na 0.000 0.000 0.000
Ge 0.000 2.262 2.262
Ge 2.262 0.000 2.262
Ge 2.262 2.262 0.000
N 2.262 2.262 2.262

(Q)
! NaGe3N, optimized geometry, DFT PBE-GGA; values from VASP
! total magnetic moment = 0.0 μB per formula unit
&SYSTEM
  ibrav = 0, nat = 5, ntyp = 3
/
ATOMIC_SPECIES
Na 22.99 Na.upf
Ge 72.64 Ge.upf
N 14.01 N.upf
CELL_PARAMETERS angstrom
4.951 0.000 0.000
0.000 4.951 0.000
0.000 0.000 4.951
ATOMIC_POSITIONS angstrom
Na 0.000 0.000 0.000
Ge 0.000 0.000 2.476
Ge 0.000 2.476 0.000
Ge 2.476 0.000 0.000
N 2.476 2.476 2.476

Most stable: (P) (next structure +1.500 eV/atom)

(P)
! NaGeSeN2, optimized geometry, DFT PBE-GGA; values from VASP
! total magnetic moment = 5.0 μB per formula unit
&SYSTEM
  ibrav = 0, nat = 5, ntyp = 4
/
ATOMIC_SPECIES
Na 22.99 Na.upf
Ge 72.64 Ge.upf
Se 78.96 Se.upf
N 14.01 N.upf
CELL_PARAMETERS angstrom
4.354 0.000 0.000
0.000 4.354 0.000
0.000 0.000 5.516
ATOMIC_POSITIONS angstrom
Na 0.000 0.000 0.000
Ge 2.177 2.177 2.758
Se 0.000 0.000 2.758
N 0.000 2.177 0.000
N 2.177 0.000 0.000

(Q)
! NaGeSeN2, optimized geometry, DFT PBE-GGA; values from VASP
! total magnetic moment = 3.0 μB per formula unit
&SYSTEM
  ibrav = 0, nat = 5, ntyp = 4
/
ATOMIC_SPECIES
Na 22.99 Na.upf
Ge 72.64 Ge.upf
Se 78.96 Se.upf
N 14.01 N.upf
CELL_PARAMETERS angstrom
3.980 0.000 0.000
0.000 3.980 0.000
0.000 0.000 5.248
ATOMIC_POSITIONS angstrom
Na 0.000 0.000 0.000
Ge 1.990 1.990 2.624
Se 1.990 1.990 0.000
N 0.000 1.990 2.624
N 1.990 0.000 2.624

Most stable: (Q) (next structure +0.981 eV/atom)

(P)
! NaGeTe2N, optimized geometry, DFT PBE-GGA; values from VASP
! total magnetic moment = 0.0 μB per formula unit
&SYSTEM
  ibrav = 0, nat = 5, ntyp = 4
/
ATOMIC_SPECIES
Na 22.99 Na.upf
Ge 72.64 Ge.upf
Te 127.60 Te.upf
N 14.01 N.upf
CELL_PARAMETERS angstrom
5.870 0.000 0.000
0.000 5.870 0.000
0.000 0.000 3.544
ATOMIC_POSITIONS angstrom
Na 0.000 0.000 0.000
Ge 2.935 2.935 1.772
Te 0.000 2.935 1.772
Te 2.935 0.000 1.772
N 2.935 2.935 0.000

(Q)
! NaGeTe2N, optimized geometry, DFT PBE-GGA; values from VASP
! total magnetic moment = 2.8 μB per formula unit
&SYSTEM
  ibrav = 0, nat = 5, ntyp = 4
/
ATOMIC_SPECIES
Na 22.99 Na.upf
Ge 72.64 Ge.upf
Te 127.60 Te.upf
N 14.01 N.upf
CELL_PARAMETERS angstrom
5.620 0.000 0.000
0.000 5.620 0.000
0.000 0.000 4.318
ATOMIC_POSITIONS angstrom
Na 0.000 0.000 0.000
Ge 2.810 2.810 2.159
Te 0.000 2.810 0.000
Te 2.810 0.000 0.000
N 0.000 0.000 2.159

Most stable: (P) (next structure +0.894 eV/atom)

(P)
! NbGe3N, optimized geometry, DFT PBE-GGA; values from VASP
! total magnetic moment = 0.0 μB per formula unit
&SYSTEM
  ibrav = 0, nat = 5, ntyp = 3
/
ATOMIC_SPECIES
Nb 92.91 Nb.upf
Ge 72.64 Ge.upf
N 14.01 N.upf
CELL_PARAMETERS angstrom
4.254 0.000 0.000
0.000 4.254 0.000
0.000 0.000 4.254
ATOMIC_POSITIONS angstrom
Nb 0.000 0.000 0.000
Ge 0.000 2.127 2.127
Ge 2.127 0.000 2.127
Ge 2.127 2.127 0.000
N 2.127 2.127 2.127

(Q)
! NbGe3N, optimized geometry, DFT PBE-GGA; values from VASP
! total magnetic moment = 3.0 μB per formula unit
&SYSTEM
  ibrav = 0, nat = 5, ntyp = 3
/
ATOMIC_SPECIES
Nb 92.91 Nb.upf
Ge 72.64 Ge.upf
N 14.01 N.upf
CELL_PARAMETERS angstrom
5.038 0.000 0.000
0.000 5.038 0.000
0.000 0.000 5.038
ATOMIC_POSITIONS angstrom
Nb 0.000 0.000 0.000
Ge 0.000 0.000 2.519
Ge 0.000 2.519 0.000
Ge 2.519 0.000 0.000
N 2.519 2.519 2.519

Most stable: (P) (next structure +0.702 eV/atom)